1.
! Lu4Hf2Bi3N3 (PBE, relaxed); values from VASP
&SYSTEM
  ibrav = 0, nat = 24, ntyp = 4
/
ATOMIC_SPECIES
Bi 208.98 Bi.upf
N 14.01 N.upf
Lu 174.97 Lu.upf
Hf 178.49 Hf.upf
CELL_PARAMETERS angstrom
5.196 -3.002 0.000
5.196 3.002 0.000
-3.482 0.000 14.638
ATOMIC_POSITIONS crystal
Bi 0.261 0.416 0.251
Bi 0.739 0.584 0.749
Bi 0.584 0.739 0.249
Bi 0.416 0.261 0.751
Bi 0.092 0.908 0.750
Bi 0.908 0.092 0.250
N 0.339 0.822 0.500
N 0.178 0.661 0.000
N 0.000 0.500 0.500
N 0.661 0.178 0.500
N 0.822 0.339 0.000
N 0.500 0.000 0.000
Lu 0.305 0.134 0.416
Lu 0.967 0.809 0.416
Lu 0.134 0.305 0.916
Lu 0.191 0.033 0.084
Lu 0.809 0.967 0.916
Lu 0.033 0.191 0.584
Lu 0.695 0.866 0.584
Lu 0.866 0.695 0.084
Hf 0.473 0.644 0.922
Hf 0.356 0.527 0.578
Hf 0.644 0.473 0.422
Hf 0.527 0.356 0.078
! * V: 228 Å³/f.u.
! * raw total energy: -7.274 eV/atom


2.
! HfMg2Bi (PBE, relaxed); values from VASP
&SYSTEM
  ibrav = 0, nat = 4, ntyp = 3
/
ATOMIC_SPECIES
Mg 24.30 Mg.upf
Hf 178.49 Hf.upf
Bi 208.98 Bi.upf
CELL_PARAMETERS angstrom
0.000 3.634 3.634
3.634 0.000 3.634
3.634 3.634 0.000
ATOMIC_POSITIONS crystal
Mg 0.000 0.000 0.000
Mg 0.750 0.750 0.750
Hf 0.250 0.250 0.250
Bi 0.500 0.500 0.500
! * V: 96 Å³/f.u.
! * raw total energy: -4.039 eV/atom


3.
! HfMgReBi (PBE, relaxed); values from VASP
&SYSTEM
  ibrav = 0, nat = 4, ntyp = 4
/
ATOMIC_SPECIES
Mg 24.30 Mg.upf
Bi 208.98 Bi.upf
Hf 178.49 Hf.upf
Re 186.21 Re.upf
CELL_PARAMETERS angstrom
4.591 0.796 1.273
1.490 -1.078 4.466
2.989 -3.726 0.715
ATOMIC_POSITIONS crystal
Mg 0.750 0.750 0.750
Bi 0.000 0.000 0.000
Hf 0.250 0.250 0.250
Re 0.500 0.500 0.500
! * V: 80 Å³/f.u.
! * polymorph energy (0 for the lowest one): 0.091 eV/atom


4.
! HfMgReBi (PBE, relaxed); values from VASP
&SYSTEM
  ibrav = 0, nat = 4, ntyp = 4
/
ATOMIC_SPECIES
Mg 24.30 Mg.upf
Bi 208.98 Bi.upf
Re 186.21 Re.upf
Hf 178.49 Hf.upf
CELL_PARAMETERS angstrom
1.424 -4.080 -2.052
-3.242 -3.180 -1.503
-0.683 -0.687 -4.684
ATOMIC_POSITIONS crystal
Mg 0.750 0.750 0.750
Bi 0.500 0.500 0.500
Re 0.250 0.250 0.250
Hf 0.000 0.000 0.000
! * V: 77 Å³/f.u.
! * polymorph energy (0 for the lowest one): 0.000 eV/atom


5.
! HfMgReBi (PBE, relaxed); values from VASP
&SYSTEM
  ibrav = 0, nat = 4, ntyp = 4
/
ATOMIC_SPECIES
Re 186.21 Re.upf
Bi 208.98 Bi.upf
Mg 24.30 Mg.upf
Hf 178.49 Hf.upf
CELL_PARAMETERS angstrom
-2.716 -3.535 1.797
-4.786 0.441 0.064
-2.700 -2.684 -2.934
ATOMIC_POSITIONS crystal
Re 0.500 0.500 0.500
Bi 0.250 0.250 0.250
Mg 0.750 0.750 0.750
Hf 0.000 0.000 0.000
! * V: 79 Å³/f.u.
! * polymorph energy (0 for the lowest one): 0.247 eV/atom


6.
! Hf2BiMo (PBE, relaxed); values from VASP
&SYSTEM
  ibrav = 0, nat = 4, ntyp = 3
/
ATOMIC_SPECIES
Bi 208.98 Bi.upf
Mo 95.94 Mo.upf
Hf 178.49 Hf.upf
CELL_PARAMETERS angstrom
0.000 3.447 3.447
3.447 0.000 3.447
3.447 3.447 0.000
ATOMIC_POSITIONS crystal
Bi 0.500 0.500 0.500
Mo 0.250 0.250 0.250
Hf 0.750 0.750 0.750
Hf 0.000 0.000 0.000
! * V: 82 Å³/f.u.
! * raw total energy: -8.418 eV/atom


7.
! HfBiMo (PBE, relaxed); values from VASP
&SYSTEM
  ibrav = 0, nat = 9, ntyp = 3
/
ATOMIC_SPECIES
Bi 208.98 Bi.upf
Mo 95.94 Mo.upf
Hf 178.49 Hf.upf
CELL_PARAMETERS angstrom
-3.844 5.296 -4.034
2.519 -6.386 -3.460
-3.125 -1.663 0.794
ATOMIC_POSITIONS crystal
Bi 0.000 0.000 0.500
Bi 0.667 0.333 0.000
Bi 0.333 0.667 0.000
Mo 0.733 0.000 0.000
Mo 0.000 0.733 0.000
Mo 0.267 0.267 0.000
Hf 0.393 0.000 0.500
Hf 0.000 0.393 0.500
Hf 0.607 0.607 0.500
! * V: 62 Å³/f.u.
! * raw total energy: -8.079 eV/atom


8.
! HfBiMo2 (PBE, relaxed); values from VASP
&SYSTEM
  ibrav = 0, nat = 4, ntyp = 3
/
ATOMIC_SPECIES
Hf 178.49 Hf.upf
Mo 95.94 Mo.upf
Bi 208.98 Bi.upf
CELL_PARAMETERS angstrom
0.000 3.372 3.372
3.372 0.000 3.372
3.372 3.372 0.000
ATOMIC_POSITIONS crystal
Hf 0.250 0.250 0.250
Mo 0.000 0.000 0.000
Mo 0.750 0.750 0.750
Bi 0.500 0.500 0.500
! * V: 77 Å³/f.u.
! * raw total energy: -8.438 eV/atom


9.
! Hf4Bi3Mo2N3 (PBE, relaxed); values from VASP
&SYSTEM
  ibrav = 0, nat = 24, ntyp = 4
/
ATOMIC_SPECIES
Bi 208.98 Bi.upf
Mo 95.94 Mo.upf
Hf 178.49 Hf.upf
N 14.01 N.upf
CELL_PARAMETERS angstrom
-0.977 5.688 1.492
-2.402 1.367 5.281
13.578 -1.715 3.150
ATOMIC_POSITIONS crystal
Bi 0.584 0.744 0.252
Bi 0.256 0.416 0.248
Bi 0.092 0.908 0.750
Bi 0.416 0.256 0.748
Bi 0.744 0.584 0.752
Bi 0.908 0.092 0.250
Mo 0.467 0.616 0.928
Mo 0.616 0.467 0.428
Mo 0.384 0.533 0.572
Mo 0.533 0.384 0.072
Hf 0.302 0.160 0.421
Hf 0.008 0.211 0.579
Hf 0.698 0.840 0.579
Hf 0.160 0.302 0.921
Hf 0.211 0.008 0.079
Hf 0.840 0.698 0.079
Hf 0.789 0.992 0.921
Hf 0.992 0.789 0.421
N 0.324 0.858 0.499
N 0.858 0.324 0.999
N 0.676 0.142 0.501
N 0.500 0.000 0.000
N 0.000 0.500 0.500
N 0.142 0.676 0.001
! * V: 208 Å³/f.u.
! * raw total energy: -8.716 eV/atom


10.
! Hf2Bi3Mo4N3 (PBE, relaxed); values from VASP
&SYSTEM
  ibrav = 0, nat = 24, ntyp = 4
/
ATOMIC_SPECIES
Bi 208.98 Bi.upf
Hf 178.49 Hf.upf
N 14.01 N.upf
Mo 95.94 Mo.upf
CELL_PARAMETERS angstrom
5.236 -2.926 0.000
5.236 2.926 0.000
-3.015 0.000 13.419
ATOMIC_POSITIONS crystal
Bi 0.251 0.413 0.756
Bi 0.066 0.934 0.250
Bi 0.934 0.066 0.750
Bi 0.749 0.587 0.244
Bi 0.587 0.749 0.744
Bi 0.413 0.251 0.256
Hf 0.534 0.319 0.574
Hf 0.466 0.681 0.426
Hf 0.319 0.534 0.074
Hf 0.681 0.466 0.926
N 0.000 0.500 0.000
N 0.606 0.200 0.988
N 0.500 0.000 0.500
N 0.200 0.606 0.488
N 0.800 0.394 0.512
N 0.394 0.800 0.012
Mo 0.670 0.916 0.080
Mo 0.148 0.107 0.576
Mo 0.893 0.852 0.924
Mo 0.916 0.670 0.580
Mo 0.084 0.330 0.420
Mo 0.852 0.893 0.424
Mo 0.107 0.148 0.076
Mo 0.330 0.084 0.920
! * V: 206 Å³/f.u.
! * raw total energy: -8.543 eV/atom


11.
! HfNiBiMo (PBE, relaxed); values from VASP
&SYSTEM
  ibrav = 0, nat = 4, ntyp = 4
/
ATOMIC_SPECIES
Hf 178.49 Hf.upf
Mo 95.94 Mo.upf
Ni 58.69 Ni.upf
Bi 208.98 Bi.upf
CELL_PARAMETERS angstrom
2.550 -3.158 -2.305
-1.796 -4.200 -0.959
-1.092 -1.123 -4.397
ATOMIC_POSITIONS crystal
Hf 0.500 0.500 0.500
Mo 0.250 0.250 0.250
Ni 0.750 0.750 0.750
Bi 0.000 0.000 0.000
! * V: 72 Å³/f.u.
! * polymorph energy (0 for the lowest one): 0.000 eV/atom


12.
! Hf2BiN (PBE, relaxed); values from VASP
&SYSTEM
  ibrav = 0, nat = 8, ntyp = 3
/
ATOMIC_SPECIES
Hf 178.49 Hf.upf
N 14.01 N.upf
Bi 208.98 Bi.upf
CELL_PARAMETERS angstrom
-2.659 -2.204 0.199
3.175 -1.180 -0.705
2.349 -1.634 13.316
ATOMIC_POSITIONS crystal
Hf 0.667 0.333 0.919
Hf 0.667 0.333 0.581
Hf 0.333 0.667 0.081
Hf 0.333 0.667 0.419
N 0.000 0.000 0.000
N 0.000 0.000 0.500
Bi 0.667 0.333 0.250
Bi 0.333 0.667 0.750
! * V: 71 Å³/f.u.
! * raw total energy: -8.881 eV/atom